one) Compound: Tb3Dy6Ho
Source: Alexandria
Functional: PBE-GGA
Structure: optimized geometry

a b c (Å): 10.9182 10.9182 6.1777
angles (deg): 90.00 90.00 119.80
Atoms (fractional coordinates):
Tb (0.1103, 0.8897, 0.5000)
Tb (0.2197, 0.4400, 0.1113)
Tb (0.4400, 0.2197, 0.6113)
Tb (0.5600, 0.7803, 0.1113)
Tb (0.7803, 0.5600, 0.6113)
Tb (0.8897, 0.1103, 0.0000)
Dy (0.0356, 0.4557, 0.7066)
Dy (0.1185, 0.2111, 0.5320)
Dy (0.2111, 0.1185, 0.0320)
Dy (0.2194, 0.7806, 0.9268)
Dy (0.4539, 0.5461, 0.6560)
Dy (0.4557, 0.0356, 0.2066)
Dy (0.5443, 0.9644, 0.7066)
Dy (0.5461, 0.4539, 0.1560)
Dy (0.7806, 0.2194, 0.4268)
Dy (0.7889, 0.8815, 0.5320)
Dy (0.8815, 0.7889, 0.0320)
Dy (0.9644, 0.5443, 0.2066)
Ho (0.2947, 0.7053, 0.4295)
Ho (0.7053, 0.2947, 0.9295)

- spin magnetization (μB per formula unit) = 0.0

two) Compound: Tb3Dy6Ho
Source: Alexandria
Functional: PBE-GGA
Structure: optimized geometry

a b c (Å): 11.5048 11.5048 6.3407
angles (deg): 90.00 90.00 130.87
Atoms (fractional coordinates):
Tb (0.0796, 0.9204, 0.5000)
Tb (0.2037, 0.4592, 0.1048)
Tb (0.4592, 0.2037, 0.6048)
Tb (0.5408, 0.7963, 0.1048)
Tb (0.7963, 0.5408, 0.6048)
Tb (0.9204, 0.0796, 0.0000)
Dy (0.0430, 0.6054, 0.2643)
Dy (0.1211, 0.2427, 0.5243)
Dy (0.1986, 0.8014, 0.8013)
Dy (0.2427, 0.1211, 0.0243)
Dy (0.3946, 0.9570, 0.2643)
Dy (0.4853, 0.5147, 0.7751)
Dy (0.5147, 0.4853, 0.2751)
Dy (0.6054, 0.0430, 0.7643)
Dy (0.7573, 0.8789, 0.5243)
Dy (0.8014, 0.1986, 0.3013)
Dy (0.8789, 0.7573, 0.0243)
Dy (0.9570, 0.3946, 0.7643)
Ho (0.3395, 0.6605, 0.5780)
Ho (0.6605, 0.3395, 0.0780)

- spin magnetization (μB per formula unit) = 0.0

Quick one: most stable of them? two)

one) Compound: Tb4Dy3Ho
Source: Alexandria
Functional: PBE-GGA
Structure: optimized geometry

a b c (Å): 11.2437 7.2475 6.2686
angles (deg): 90.00 90.00 90.00
Atoms (fractional coordinates):
Tb (0.0000, 0.1255, 0.0000)
Tb (0.0000, 0.8745, 0.4994)
Tb (0.2503, 0.1257, 0.3328)
Tb (0.2497, 0.8743, 0.8328)
Tb (0.5000, 0.1255, 0.9994)
Tb (0.5000, 0.8745, 0.5000)
Tb (0.7497, 0.1257, 0.3328)
Tb (0.7503, 0.8743, 0.8328)
Dy (0.0000, 0.3755, 0.4998)
Dy (0.2500, 0.3757, 0.8325)
Dy (0.2500, 0.6243, 0.3325)
Dy (0.5000, 0.6245, 0.9998)
Dy (0.7500, 0.3757, 0.8325)
Dy (0.7500, 0.6243, 0.3325)
Ho (0.0000, 0.6243, 0.9998)
Ho (0.5000, 0.3757, 0.4998)

- spin magnetization (μB per formula unit) = 0.0

two) Compound: Tb4Dy3Ho
Source: Alexandria
Functional: PBE-GGA
Structure: optimized geometry

a b c (Å): 13.2678 13.2678 3.5550
angles (deg): 90.00 90.00 155.60
Atoms (fractional coordinates):
Tb (0.1032, 0.8968, 0.0000)
Tb (0.2231, 0.7769, 0.0000)
Tb (0.7769, 0.2231, 0.0000)
Tb (0.8968, 0.1032, 0.0000)
Dy (0.3463, 0.6537, 0.5000)
Dy (0.5000, 0.5000, 0.0000)
Dy (0.6537, 0.3463, 0.5000)
Ho (0.0000, 0.0000, 0.5000)

- spin magnetization (μB per formula unit) = 0.0

Quick one: most stable of them? one)

one) Compound: Tb2Dy2Ho5
Source: Alexandria
Functional: PBE-GGA
Structure: optimized geometry

a b c (Å): 9.9815 9.9815 9.9815
angles (deg): 84.43 108.70 140.94
Atoms (fractional coordinates):
Tb (0.0041, 0.1271, 0.1312)
Tb (0.0041, 0.3729, 0.3769)
Tb (0.9959, 0.6271, 0.6231)
Tb (0.9959, 0.8729, 0.8688)
Dy (0.4565, 0.4565, 0.0000)
Dy (0.4565, 0.9565, 0.5000)
Dy (0.5389, 0.8017, 0.2372)
Dy (0.5645, 0.3017, 0.7628)
Ho (0.0934, 0.4739, 0.9053)
Ho (0.0934, 0.6881, 0.1195)
Ho (0.0974, 0.0951, 0.5023)
Ho (0.4046, 0.2031, 0.3059)
Ho (0.4046, 0.5987, 0.7015)
Ho (0.5686, 0.1881, 0.0947)
Ho (0.5686, 0.9739, 0.8805)
Ho (0.5929, 0.5951, 0.4977)
Ho (0.8972, 0.0987, 0.6941)
Ho (0.8972, 0.7031, 0.2985)

- spin magnetization (μB per formula unit) = 0.0

two) Compound: Tb2Dy2Ho5
Source: Alexandria
Functional: PBE-GGA
Structure: optimized geometry

a b c (Å): 7.8920 7.8920 7.8885
angles (deg): 107.47 107.47 36.81
Atoms (fractional coordinates):
Tb (0.1114, 0.1114, 0.1669)
Tb (0.8886, 0.8886, 0.8331)
Dy (0.4442, 0.4442, 0.1669)
Dy (0.5558, 0.5558, 0.8331)
Ho (0.0000, 0.0000, 0.5000)
Ho (0.2220, 0.2220, 0.8327)
Ho (0.3334, 0.3334, 0.5001)
Ho (0.6666, 0.6666, 0.4999)
Ho (0.7780, 0.7780, 0.1673)

- spin magnetization (μB per formula unit) = 0.0

Quick one: most stable of them? two)

one) Compound: TbDyHoTh
Source: Alexandria
Functional: PBE-GGA
Structure: optimized geometry

a b c (Å): 11.6061 11.6061 11.6061
angles (deg): 17.76 17.76 17.76
Atoms (fractional coordinates):
Tb (0.0000, 0.0000, 0.0000)
Dy (0.8318, 0.8318, 0.8318)
Ho (0.5817, 0.5817, 0.5817)
Th (0.4163, 0.4163, 0.4163)

- spin magnetization (μB per formula unit) = 0.2

two) Compound: TbDyHoTh
Source: Alexandria
Functional: PBE-GGA
Structure: optimized geometry

a b c (Å): 5.6603 5.6603 5.6603
angles (deg): 60.00 60.00 60.00
Atoms (fractional coordinates):
Tb (0.0000, 0.0000, 0.0000)
Dy (0.7500, 0.7500, 0.7500)
Ho (0.2500, 0.2500, 0.2500)
Th (0.5000, 0.5000, 0.5000)

- spin magnetization (μB per formula unit) = 0.0

Quick one: most stable of them? one)